Crystalline KTl15Bi4 at its relaxed geometry, computed with PBE-GGA.

Properties
Its final energy is -53.03 eV/cell. For the energy of formation from the pure elements, the calculation gives -0.91 eV/f.u.

Cell lengths 5.0853, 5.0853, 24.7474 Å; angles 90.00, 90.00, 90.00 degrees
Space group P4/mmm (No. 123)
Unique sites:
K 0.0000 0.0000 0.0000 x1
Tl 0.0000 0.5000 0.1053 x4
Tl 0.0000 0.5000 0.3030 x4
Tl 0.0000 0.5000 0.5000 x2
Tl 0.5000 0.5000 0.0000 x1
Tl 0.5000 0.5000 0.2050 x2
Tl 0.5000 0.5000 0.4018 x2
Bi 0.0000 0.0000 0.1924 x2
Bi 0.0000 0.0000 0.3985 x2

Crystalline YEr3Th at its relaxed geometry, computed with PBE-GGA.

Properties
Its final energy is -214.68 eV/cell. For the energy of formation from the pure elements, the calculation gives 0.74 eV/f.u.

Cell lengths 13.1775, 13.1147, 7.4194 Å; angles 90.00, 90.00, 90.00 degrees
Space group Cmce (No. 64)
Unique sites:
Y 0.2500 0.0240 0.2500 x8
Er 0.0000 0.0974 0.1416 x8
Er 0.1497 0.2276 0.8793 x16
Th 0.0000 0.1071 0.5857 x8